1.
# Ho3PCl3 (GGA-PBE, optimized geometry)
data_Ho3PCl3
_symmetry_space_group_name_H-M 'R -3'
_symmetry_Int_Tables_number 148
_symmetry_space_group_name_Hall '-R 3'
_cell_length_a 6.6984
_cell_length_b 6.6984
_cell_length_c 30.0532
_cell_angle_alpha 90.00
_cell_angle_beta 90.00
_cell_angle_gamma 120.00
loop_
_atom_site_label
_atom_site_type_symbol
_atom_site_fract_x
_atom_site_fract_y
_atom_site_fract_z
Ho1 Ho 0.0000 0.3378 0.4496
P1 P 0.0000 0.0000 0.1667
Cl1 Cl 0.0000 0.3314 0.6053
# D(E_F) ... 0.23 states/eV per atom
# Calculated volume ... 27.804 Å³/atom
# Theoretical density ... 5.39 g cm⁻³
# Formation energy (no corrections) ... -1211 kJ/mol of formula units
# Total moment ... 0.00 μB/f.u.



2.
# KCdHg2 (GGA-PBE, optimized geometry)
data_KCdHg2
_symmetry_space_group_name_H-M 'C 1 2/m 1'
_symmetry_Int_Tables_number 12
_symmetry_space_group_name_Hall '-C 2y'
_cell_length_a 7.264
_cell_length_b 7.228
_cell_length_c 4.671
_cell_angle_alpha 90.00
_cell_angle_beta 90.60
_cell_angle_gamma 90.00
loop_
_atom_site_label
_atom_site_type_symbol
_atom_site_fract_x
_atom_site_fract_y
_atom_site_fract_z
K1 K 0.000 0.000 0.000
Cd1 Cd 0.000 0.500 0.000
Hg1 Hg 0.250 0.250 0.500
# D(E_F) ... 0.35 states/eV per atom
# Calculated volume ... 30.653 Å³/atom
# Energy of formation from the pure elements ... -127 meV per atom
# Theoretical density ... 7.49 g cm⁻³
# Total moment ... 0.00 μB/f.u.



3.
# Ca3Tl5I12 (GGA-PBE, optimized geometry)
data_Ca3Tl5I12
_symmetry_space_group_name_H-M 'I a -3 d'
_symmetry_Int_Tables_number 230
_symmetry_space_group_name_Hall '-I 4bd 2c 3'
_cell_length_a 20.635
_cell_length_b 20.635
_cell_length_c 20.635
_cell_angle_alpha 90.00
_cell_angle_beta 90.00
_cell_angle_gamma 90.00
loop_
_atom_site_label
_atom_site_type_symbol
_atom_site_fract_x
_atom_site_fract_y
_atom_site_fract_z
Ca1 Ca 0.000 0.250 0.125
Tl1 Tl 0.000 0.000 0.000
Tl2 Tl 0.000 0.250 0.375
I1 I 0.018 0.034 0.343
# D(E_F) ... 0.55 states/eV per atom
# Calculated volume ... 54.916 Å³/atom
# Theoretical density ... 4.03 g cm⁻³
# Formation energy (no corrections) ... -1742 kJ/mol of formula units
# Total moment ... 0.00 μB/f.u.



4.
# Pm4Pt (GGA-PBE, optimized geometry)
data_Pm4Pt
_symmetry_space_group_name_H-M 'I -4 2 d'
_symmetry_Int_Tables_number 122
_symmetry_space_group_name_Hall 'I -4 2bw'
_cell_length_a 9.011
_cell_length_b 9.011
_cell_length_c 7.950
_cell_angle_alpha 90.00
_cell_angle_beta 90.00
_cell_angle_gamma 90.00
loop_
_atom_site_label
_atom_site_type_symbol
_atom_site_fract_x
_atom_site_fract_y
_atom_site_fract_z
Pm1 Pm 0.041 0.200 0.342
Pt1 Pt 0.000 0.000 0.000
# D(E_F) ... 1.20 states/eV per atom
# Calculated volume ... 32.276 Å³/atom
# Energy of formation from the pure elements ... -419 meV per atom
# Theoretical density ... 7.98 g cm⁻³
# Total moment ... 0.00 μB/f.u.



5.
# AlP2Cl (GGA-PBE, optimized geometry)
data_AlP2Cl
_symmetry_space_group_name_H-M 'R 3 m'
_symmetry_Int_Tables_number 160
_symmetry_space_group_name_Hall 'R 3 -2"'
_cell_length_a 3.5532
_cell_length_b 3.5532
_cell_length_c 24.5712
_cell_angle_alpha 90.00
_cell_angle_beta 90.00
_cell_angle_gamma 120.00
loop_
_atom_site_label
_atom_site_type_symbol
_atom_site_fract_x
_atom_site_fract_y
_atom_site_fract_z
Al1 Al 0.0000 0.0000 0.0000
P1 P 0.0000 0.0000 0.2695
P2 P 0.0000 0.0000 0.5565
Cl1 Cl 0.0000 0.0000 0.7278
# D(E_F) ... 0.08 states/eV per atom
# Calculated volume ... 22.388 Å³/atom
# Theoretical density ... 2.31 g cm⁻³
# Formation energy (no corrections) ... -103 kJ/mol of formula units
# Total moment ... 0.00 μB/f.u.



6.
# Pm2Th2Se7 (GGA-PBE, optimized geometry)
data_Pm2Th2Se7
_symmetry_space_group_name_H-M 'C m m m'
_symmetry_Int_Tables_number 65
_symmetry_space_group_name_Hall '-C 2 2'
_cell_length_a 9.967
_cell_length_b 9.970
_cell_length_c 7.107
_cell_angle_alpha 90.00
_cell_angle_beta 90.00
_cell_angle_gamma 90.00
loop_
_atom_site_label
_atom_site_type_symbol
_atom_site_fract_x
_atom_site_fract_y
_atom_site_fract_z
Pm1 Pm 0.229 0.000 0.000
Th1 Th 0.000 0.228 0.500
Se1 Se 0.000 0.000 0.258
Se2 Se 0.000 0.500 0.000
Se3 Se 0.250 0.250 0.260
# Calculated volume ... 32.104 Å³/atom
# Theoretical density ... 6.14 g cm⁻³
# Formation energy (no corrections) ... -1658 kJ/mol of formula units
# Total moment ... 0.00 μB/f.u.



7.
# Ce2Tl2CuS6 (GGA-PBE, optimized geometry)
data_Ce2Tl2CuS6
_symmetry_space_group_name_H-M 'C 1 2/m 1'
_symmetry_Int_Tables_number 12
_symmetry_space_group_name_Hall '-C 2y'
_cell_length_a 6.767
_cell_length_b 12.298
_cell_length_c 7.728
_cell_angle_alpha 90.00
_cell_angle_beta 106.81
_cell_angle_gamma 90.00
loop_
_atom_site_label
_atom_site_type_symbol
_atom_site_fract_x
_atom_site_fract_y
_atom_site_fract_z
Ce1 Ce 0.000 0.165 0.000
Tl1 Tl 0.000 0.339 0.500
Cu1 Cu 0.000 0.500 0.000
S1 S 0.228 0.500 0.836
S2 S 0.245 0.321 0.211
# D(E_F) ... 0.71 states/eV per atom
# Calculated volume ... 27.987 Å³/atom
# Theoretical density ... 5.10 g cm⁻³
# Formation energy (no corrections) ... -1070 kJ/mol of formula units
# Total moment ... 0.34 μB/f.u.



8.
# Pm6Y3Er (GGA-PBE, optimized geometry)
data_Pm6Y3Er
_symmetry_space_group_name_H-M 'R -3 c'
_symmetry_Int_Tables_number 167
_symmetry_space_group_name_Hall '-R 3 2"c'
_cell_length_a 17.0545
_cell_length_b 17.0545
_cell_length_c 8.1935
_cell_angle_alpha 90.00
_cell_angle_beta 90.00
_cell_angle_gamma 120.00
loop_
_atom_site_label
_atom_site_type_symbol
_atom_site_fract_x
_atom_site_fract_y
_atom_site_fract_z
Pm1 Pm 0.0815 0.2175 0.0679
Y1 Y 0.0000 0.2869 0.7500
Er1 Er 0.0000 0.0000 0.2500
# D(E_F) ... 1.42 states/eV per atom
# Calculated volume ... 34.397 Å³/atom
# Energy of formation from the pure elements ... 211 meV per atom
# Theoretical density ... 6.29 g cm⁻³
# Total moment ... 0.00 μB/f.u.



9.
# InAgIr2 (GGA-PBE, optimized geometry)
data_InAgIr2
_symmetry_space_group_name_H-M 'P 4/m m m'
_symmetry_Int_Tables_number 123
_symmetry_space_group_name_Hall '-P 4 2'
_cell_length_a 4.054
_cell_length_b 4.054
_cell_length_c 4.038
_cell_angle_alpha 90.00
_cell_angle_beta 90.00
_cell_angle_gamma 90.00
loop_
_atom_site_label
_atom_site_type_symbol
_atom_site_fract_x
_atom_site_fract_y
_atom_site_fract_z
In1 In 0.000 0.000 0.000
Ag1 Ag 0.500 0.500 0.000
Ir1 Ir 0.000 0.500 0.500
# D(E_F) ... 1.38 states/eV per atom
# Calculated volume ... 16.588 Å³/atom
# Energy of formation from the pure elements ... 271 meV per atom
# Theoretical density ... 15.19 g cm⁻³
# Total moment ... 0.00 μB/f.u.



10.
# BaAl2Sn8 (GGA-PBE, optimized geometry)
data_BaAl2Sn8
_symmetry_space_group_name_H-M 'P 4/m m m'
_symmetry_Int_Tables_number 123
_symmetry_space_group_name_Hall '-P 4 2'
_cell_length_a 6.755
_cell_length_b 6.755
_cell_length_c 8.453
_cell_angle_alpha 90.00
_cell_angle_beta 90.00
_cell_angle_gamma 90.00
loop_
_atom_site_label
_atom_site_type_symbol
_atom_site_fract_x
_atom_site_fract_y
_atom_site_fract_z
Ba1 Ba 0.000 0.000 0.000
Al1 Al 0.000 0.500 0.500
Sn1 Sn 0.260 0.260 0.311
# D(E_F) ... 0.51 states/eV per atom
# Calculated volume ... 35.067 Å³/atom
# Energy of formation from the pure elements ... 36 meV per atom
# Theoretical density ... 4.91 g cm⁻³
# Total moment ... 0.00 μB/f.u.